First-principles (PBE) data for a relaxed KMo2Os crystal, as listed in Alexandria via LeMat-Bulk.

a = 6.2715 Å, b = 6.2715 Å, c = 6.2715 Å
α = 155.57°, β = 128.32°, γ = 57.96°
Closest atoms and distances in Å follow each position.
Fractional positions:
K (0.2500, 0.7500, 0.5000)  2 K 2.65
Mo (0.9564, 0.9564, 0.0000)  2 Os 2.62, 2 Mo 2.65
Mo (0.5436, 0.5436, 0.0000)  2 Os 2.62, 2 Mo 2.65
Os (0.7500, 0.2500, 0.5000)  4 Mo 2.62, 2 Os 2.65

Values from the calculation:
D(E_F) = 4.5 states/eV/f.u.
Symmetry = Immm, No. 71
Energy relative to the elements = 1.155 eV per atom
Energy above the most stable polymorph in this dataset = 0.3812 eV/atom